VASP calculation (GGA-PBE) on a geometry-optimized UAl5Zn7 structure.

Geometry as extended XYZ:
```
13
Lattice="5.107 0.000 2.097 2.572 6.254 1.003 0.177 -0.029 6.834" Properties=species:S:1:pos:R:3 pbc="T T T"
Al 3.819 3.106 1.578
Al 0.104 0.019 3.401
Al 5.808 4.890 7.655
Al 1.281 3.106 0.536
Al 2.642 0.019 4.443
Zn 4.611 4.902 3.304
Zn 2.060 1.303 2.250
Zn 6.825 4.046 5.180
Zn 3.246 1.320 6.627
Zn 6.126 2.212 6.882
Zn 3.581 4.030 5.813
Zn 4.275 2.198 4.124
U 2.759 6.200 7.814
```

## Properties
Density of states at the Fermi level ... 8.4 states/eV/f.u.
Total magnetic moment ... 2.69 μB/cell
Calculated total energy ... -3.02 eV/atom

VASP calculation (GGA-PBE) on a geometry-optimized UAlZn2 structure.

Geometry as extended XYZ:
```
4
Lattice="2.771 0.000 0.000 0.000 2.771 0.000 0.000 0.000 8.881" Properties=species:S:1:pos:R:3 pbc="T T T"
Al 1.386 1.386 0.000
Zn 0.000 0.000 1.990
Zn 0.000 0.000 6.890
U 1.386 1.386 4.440
```

## Properties
Density of states at the Fermi level ... 3.1 states/eV/f.u.
Total magnetic moment ... 1.47 μB/cell
Calculated total energy ... -4.35 eV/atom